Record 1
Below is a geometry-optimized Nd2DySc structure, with properties calculated at the PBE level.

Cell: 7.965 7.965 7.965 Å, 90.00 90.00 90.00°
Space group Fm-3m (No. 225)
Symmetry-distinct sites (fractional):
Nd (0.250, 0.250, 0.250) x8
Dy (0.000, 0.000, 0.000) x4
Sc (0.000, 0.000, 0.500) x4

Values from the calculation:
* VASP energy: -5.01 eV per atom
* distance to the lowest polymorph of the same formula: 63.1 meV per atom
* E_form: 0.10 eV per atom
* DOS at the Fermi energy: 1.639 states/eV per atom

=====

Record 2
Below is a geometry-optimized NdDy12Sc5 structure, with properties calculated at the PBE level.

Cell: 6.050 10.477 16.944 Å, 90.00 96.83 90.00°
Space group C2/m (No. 12)
Symmetry-distinct sites (fractional):
Nd (0.000, 0.000, 0.000) x2
Dy (0.108, 0.500, 0.833) x4
Dy (0.112, 0.168, 0.833) x8
Dy (0.220, 0.000, 0.660) x4
Dy (0.220, 0.334, 0.660) x8
Sc (0.000, 0.167, 0.500) x4
Sc (0.000, 0.333, 0.000) x4
Sc (0.000, 0.500, 0.500) x2

Values from the calculation:
* VASP energy: -5.05 eV per atom
* E_form: 0.04 eV per atom
* DOS at the Fermi energy: 1.329 states/eV per atom

=====

Record 3
Below is a geometry-optimized NdDy6Sc6 structure, with properties calculated at the PBE level.

Cell: 6.4174 6.4174 10.9118 Å, 90.00 90.00 120.00°
Space group P6/mmm (No. 191)
Symmetry-distinct sites (fractional):
Nd (0.0000, 0.0000, 0.0000) x1
Dy (0.0000, 0.0000, 0.3414) x2
Dy (0.3333, 0.6667, 0.0000) x2
Dy (0.3333, 0.6667, 0.5000) x2
Sc (0.0000, 0.5000, 0.2432) x6

Values from the calculation:
* VASP energy: -5.19 eV per atom
* E_form: 0.22 eV per atom
* DOS at the Fermi energy: 2.164 states/eV per atom

=====

Record 4
Below is a geometry-optimized Nd2Dy4Sc5 structure, with properties calculated at the PBE level.

Cell: 8.472 3.431 11.944 Å, 90.00 110.48 90.00°
Space group P2/m (No. 10)
Symmetry-distinct sites (fractional):
Nd (0.124, 0.000, 0.401) x2
Dy (0.264, 0.500, 0.739) x2
Dy (0.272, 0.500, 0.150) x2
Sc (0.085, 0.000, 0.900) x2
Sc (0.492, 0.000, 0.621) x2
Sc (0.500, 0.000, 0.000) x1

Values from the calculation:
* VASP energy: -5.28 eV per atom
* E_form: 0.14 eV per atom
* DOS at the Fermi energy: 1.612 states/eV per atom

=====

Record 5
Below is a geometry-optimized NdDy12Sc6 structure, with properties calculated at the PBE level.

Cell: 10.441 10.441 10.441 Å, 90.00 90.00 90.00°
Space group Im-3 (No. 204)
Symmetry-distinct sites (fractional):
Nd (0.000, 0.000, 0.000) x2
Dy (0.000, 0.198, 0.267) x24
Sc (0.000, 0.362, 0.500) x12

Values from the calculation:
* VASP energy: -4.91 eV per atom
* distance to the lowest polymorph of the same formula: 0.0 meV per atom
* E_form: 0.24 eV per atom
* DOS at the Fermi energy: 1.664 states/eV per atom

=====

Record 6
Below is a geometry-optimized Nd8Dy5Sc structure, with properties calculated at the PBE level.

Cell: 15.530 8.395 8.595 Å, 90.00 121.57 90.00°
Space group C2 (No. 5)
Symmetry-distinct sites (fractional):
Nd (0.124, 0.000, 0.182) x4
Nd (0.169, 0.399, 0.211) x4
Nd (0.184, 0.709, 0.921) x4
Nd (0.187, 0.219, 0.570) x4
Dy (0.000, 0.952, 0.500) x2
Dy (0.049, 0.304, 0.769) x4
Dy (0.103, 0.622, 0.465) x4
Sc (0.000, 0.662, 0.000) x2

Values from the calculation:
* VASP energy: -4.64 eV per atom
* E_form: 0.18 eV per atom
* DOS at the Fermi energy: 1.512 states/eV per atom

=====

Record 7
Below is a geometry-optimized NdDy8Sc2 structure, with properties calculated at the PBE level.

Cell: 8.854 15.905 5.780 Å, 90.00 122.98 90.00°
Space group C2/m (No. 12)
Symmetry-distinct sites (fractional):
Nd (0.000, 0.000, 0.000) x2
Dy (0.000, 0.208, 0.000) x4
Dy (0.071, 0.500, 0.792) x4
Dy (0.219, 0.121, 0.676) x8
Sc (0.000, 0.310, 0.500) x4

Values from the calculation:
* VASP energy: -4.76 eV per atom
* distance to the lowest polymorph of the same formula: 47.6 meV per atom
* E_form: 0.17 eV per atom
* DOS at the Fermi energy: 1.516 states/eV per atom

=====

Record 8
Below is a geometry-optimized Nd7Dy12Sc structure, with properties calculated at the PBE level.

Cell: 11.319 11.319 11.319 Å, 90.00 90.00 90.00°
Space group Im-3m (No. 229)
Symmetry-distinct sites (fractional):
Nd (0.000, 0.000, 0.500) x6
Nd (0.250, 0.250, 0.250) x8
Dy (0.000, 0.242, 0.242) x24
Sc (0.000, 0.000, 0.000) x2

Values from the calculation:
* VASP energy: -4.08 eV per atom
* distance to the lowest polymorph of the same formula: 413.2 meV per atom
* E_form: 0.67 eV per atom
* DOS at the Fermi energy: 1.498 states/eV per atom

=====

Record 9
Below is a geometry-optimized Nd8Dy3Sc2 structure, with properties calculated at the PBE level.

Cell: 19.811 7.790 5.712 Å, 90.00 90.02 90.00°
Space group C2/m (No. 12)
Symmetry-distinct sites (fractional):
Nd (0.110, 0.205, 0.000) x8
Nd (0.132, 0.500, 0.499) x4
Nd (0.179, 0.000, 0.501) x4
Dy (0.000, 0.212, 0.500) x4
Dy (0.000, 0.500, 0.000) x2
Sc (0.239, 0.500, 0.999) x4

Values from the calculation:
* VASP energy: -4.76 eV per atom
* distance to the lowest polymorph of the same formula: 48.1 meV per atom
* E_form: 0.21 eV per atom
* DOS at the Fermi energy: 1.390 states/eV per atom

=====

Record 10
Below is a geometry-optimized Nd6Dy2Sc structure, with properties calculated at the PBE level.

Cell: 16.335 11.788 6.217 Å, 90.00 96.39 90.00°
Space group C2/c (No. 15)
Symmetry-distinct sites (fractional):
Nd (0.049, 0.141, 0.012) x8
Nd (0.111, 0.365, 0.325) x8
Nd (0.209, 0.360, 0.853) x8
Dy (0.170, 0.103, 0.573) x8
Sc (0.000, 0.393, 0.750) x4

Values from the calculation:
* VASP energy: -4.81 eV per atom
* distance to the lowest polymorph of the same formula: 59.2 meV per atom
* E_form: 0.09 eV per atom
* DOS at the Fermi energy: 1.460 states/eV per atom

=====

Record 11
Below is a geometry-optimized Nd2DySc structure, with properties calculated at the PBE level.

Cell: 3.4679 3.4679 36.7698 Å, 90.00 90.00 120.00°
Space group R-3m (No. 166, hexagonal axes)
Symmetry-distinct sites (fractional):
Nd (0.0000, 0.0000, 0.0910) x6
Dy (0.0000, 0.0000, 0.0000) x3
Sc (0.0000, 0.0000, 0.5000) x3

Values from the calculation:
* VASP energy: -4.91 eV per atom
* distance to the lowest polymorph of the same formula: 168.6 meV per atom
* E_form: 0.21 eV per atom
* DOS at the Fermi energy: 2.085 states/eV per atom

=====

Record 12
Below is a geometry-optimized Nd3DySc4 structure, with properties calculated at the PBE level.

Cell: 10.897 7.236 5.948 Å, 90.00 90.00 90.00°
Space group Pmn2_1 (No. 31)
Symmetry-distinct sites (fractional):
Nd (0.000, 0.141, 0.000) x2
Nd (0.249, 0.860, 0.861) x4
Dy (0.000, 0.857, 0.497) x2
Sc (0.000, 0.393, 0.513) x2
Sc (0.000, 0.605, 0.012) x2
Sc (0.248, 0.606, 0.348) x4

Values from the calculation:
* VASP energy: -5.47 eV per atom
* E_form: 0.06 eV per atom
* DOS at the Fermi energy: 1.810 states/eV per atom

=====

What did the eleventh record say?
Below is a geometry-optimized Nd2DySc structure, with properties calculated at the PBE level.

Cell: 3.4679 3.4679 36.7698 Å, 90.00 90.00 120.00°
Space group R-3m (No. 166, hexagonal axes)
Symmetry-distinct sites (fractional):
Nd (0.0000, 0.0000, 0.0910) x6
Dy (0.0000, 0.0000, 0.0000) x3
Sc (0.0000, 0.0000, 0.5000) x3

Values from the calculation:
* VASP energy: -4.91 eV per atom
* distance to the lowest polymorph of the same formula: 168.6 meV per atom
* E_form: 0.21 eV per atom
* DOS at the Fermi energy: 2.085 states/eV per atom